[1]
DFT (PBE) results for a geometry-optimized RbCoP3 structure.

```
RbCoP3
1.0
4.618 0.000 0.000
0.000 4.618 0.000
0.000 0.000 4.618
Rb Co P
1 1 3
Cartesian
0.000 0.000 0.000 Rb
2.309 2.309 2.309 Co
0.000 2.309 2.309 P
2.309 0.000 2.309 P
2.309 2.309 0.000 P
```

Properties
Raw total energy = -4.42 eV/atom
Density of states at the Fermi level = 1.319 states/eV per atom
Energy relative to the elements = 10.3 kcal/mol of atoms
Offset from the most stable computed form = 0 meV per atom

---

[2]
DFT (PBE) results for a geometry-optimized RbCoP3 structure.

```
RbCoP3
1.0
5.277 0.000 0.000
0.000 5.277 0.000
0.000 0.000 5.277
Rb Co P
1 1 3
Cartesian
0.000 0.000 0.000 Rb
2.639 2.639 2.639 Co
0.000 0.000 2.639 P
0.000 2.639 0.000 P
2.639 0.000 0.000 P
```

Properties
Raw total energy = -2.24 eV/atom
Density of states at the Fermi level = 0.960 states/eV per atom
Energy relative to the elements = 60.4 kcal/mol of atoms
Offset from the most stable computed form = 2175 meV per atom

---

[3]
DFT (PBE) results for a geometry-optimized RbCo3P structure.

```
RbCo3P
1.0
4.479 0.000 0.000
0.000 4.479 0.000
0.000 0.000 4.479
Rb Co P
1 3 1
Cartesian
0.000 0.000 0.000 Rb
0.000 2.239 2.239 Co
2.239 0.000 2.239 Co
2.239 2.239 0.000 Co
2.239 2.239 2.239 P
```

Properties
Raw total energy = -4.96 eV/atom
Density of states at the Fermi level = 2.272 states/eV per atom
Energy relative to the elements = 13.3 kcal/mol of atoms

---

[4]
DFT (PBE) results for a geometry-optimized RbCoP2 structure.

```
RbCoP2
1.0
0.000 3.345 3.345
3.345 0.000 3.345
3.345 3.345 0.000
Rb Co P
1 1 2
Cartesian
0.000 0.000 0.000 Rb
3.345 3.345 3.345 Co
1.673 1.673 1.673 P
5.018 5.018 5.018 P
```

Properties
Raw total energy = -3.77 eV/atom
Density of states at the Fermi level = 0.708 states/eV per atom
Energy relative to the elements = 22.0 kcal/mol of atoms
Offset from the most stable computed form = 1104 meV per atom

---

[5]
DFT (PBE) results for a geometry-optimized Rb3CoP structure.

```
Rb3CoP
1.0
6.550 0.000 0.000
0.000 6.550 0.000
0.000 0.000 6.550
Rb Co P
3 1 1
Cartesian
0.000 0.000 3.275 Rb
0.000 3.275 0.000 Rb
3.275 0.000 0.000 Rb
3.275 3.275 3.275 Co
0.000 0.000 0.000 P
```

Properties
Raw total energy = -2.38 eV/atom
Density of states at the Fermi level = 1.934 states/eV per atom
Energy relative to the elements = 16.2 kcal/mol of atoms
Offset from the most stable computed form = 0 meV per atom

---

[6]
DFT (PBE) results for a geometry-optimized RbCoP structure.

```
RbCoP
1.0
4.090 0.000 0.000
-0.826 4.005 0.000
-0.088 -0.196 10.654
Rb Co P
2 2 2
Cartesian
0.691 0.849 2.958 Rb
2.485 2.961 7.696 Rb
0.126 2.962 10.654 Co
3.050 0.847 0.000 Co
0.902 1.019 9.907 P
2.274 2.790 0.748 P
```

Properties
Raw total energy = -4.90 eV/atom
Density of states at the Fermi level = 0.258 states/eV per atom
Energy relative to the elements = -9.3 kcal/mol of atoms

---

[7]
DFT (PBE) results for a geometry-optimized RbCoP2S8 structure.

```
RbCoP2S8
1.0
5.706 0.000 0.000
-2.853 4.941 0.000
0.000 0.000 10.111
Rb Co P S
1 1 2 8
Cartesian
0.000 0.000 0.000 Rb
0.000 0.000 5.055 Co
0.000 3.294 7.005 P
2.853 1.647 3.106 P
-1.859 3.398 3.716 S
0.839 1.633 3.716 S
1.834 0.090 6.395 S
0.000 3.294 9.000 S
2.853 1.647 1.111 S
1.019 4.852 3.716 S
2.014 3.309 6.395 S
4.711 1.543 6.395 S
```

Properties
Raw total energy = -4.57 eV/atom
Density of states at the Fermi level = 0.607 states/eV per atom
Formation energy from raw total energies = -0.247 eV/atom

---

[8]
DFT (PBE) results for a geometry-optimized RbCoP2S structure.

```
RbCoP2S
1.0
4.364 0.000 0.000
0.000 4.364 0.000
0.000 0.000 5.412
Rb Co P S
1 1 2 1
Cartesian
0.000 0.000 0.000 Rb
2.182 2.182 2.706 Co
0.000 2.182 2.706 P
2.182 0.000 2.706 P
2.182 2.182 0.000 S
```

Properties
Raw total energy = -4.45 eV/atom
Density of states at the Fermi level = 0.370 states/eV per atom
Formation energy from raw total energies = 0.149 eV/atom
Offset from the most stable computed form = 0 meV per atom

---

[9]
DFT (PBE) results for a geometry-optimized RbCoPS2 structure.

```
RbCoPS2
1.0
4.942 0.000 0.000
0.000 4.942 0.000
0.000 0.000 4.224
Rb Co P S
1 1 1 2
Cartesian
0.000 0.000 0.000 Rb
2.471 2.471 2.112 Co
2.471 2.471 0.000 P
0.000 2.471 2.112 S
2.471 0.000 2.112 S
```

Properties
Raw total energy = -4.31 eV/atom
Density of states at the Fermi level = 0.996 states/eV per atom
Formation energy from raw total energies = 0.037 eV/atom
Offset from the most stable computed form = 0 meV per atom

---

[10]
DFT (PBE) results for a geometry-optimized RbCoP2S structure.

```
RbCoP2S
1.0
5.362 0.000 0.000
0.000 5.362 0.000
0.000 0.000 5.470
Rb Co P S
1 1 2 1
Cartesian
0.000 0.000 0.000 Rb
2.681 2.681 2.735 Co
0.000 2.681 0.000 P
2.681 0.000 0.000 P
0.000 0.000 2.735 S
```

Properties
Raw total energy = -2.23 eV/atom
Density of states at the Fermi level = 1.528 states/eV per atom
Formation energy from raw total energies = 2.373 eV/atom
Offset from the most stable computed form = 2224 meV per atom

---

[11]
DFT (PBE) results for a geometry-optimized RbCoPS2 structure.

```
RbCoPS2
1.0
5.395 0.000 0.000
0.000 5.395 0.000
0.000 0.000 5.709
Rb Co P S
1 1 1 2
Cartesian
0.000 0.000 0.000 Rb
2.698 2.698 2.855 Co
0.000 0.000 2.855 P
0.000 2.698 0.000 S
2.698 0.000 0.000 S
```

Properties
Raw total energy = -2.20 eV/atom
Density of states at the Fermi level = 2.306 states/eV per atom
Formation energy from raw total energies = 2.144 eV/atom
Offset from the most stable computed form = 2106 meV per atom

---

[12]
DFT (PBE) results for a geometry-optimized RbCoP2Se8 structure.

```
RbCoP2Se8
1.0
5.901 0.000 0.000
-2.950 5.110 0.000
0.000 0.000 10.949
Rb Co P Se
1 1 2 8
Cartesian
0.000 0.000 0.000 Rb
0.000 0.000 5.475 Co
0.000 3.407 7.654 P
2.950 1.703 3.295 P
-1.841 3.617 3.984 Se
0.739 1.707 3.984 Se
0.000 3.407 9.814 Se
1.848 0.214 6.965 Se
1.102 4.896 3.984 Se
2.950 1.703 1.136 Se
2.212 3.403 6.965 Se
4.792 1.494 6.965 Se
```

Properties
Raw total energy = -4.09 eV/atom
Density of states at the Fermi level = 0.742 states/eV per atom
Formation energy from raw total energies = -0.192 eV/atom